Density functional theory data (PBE) for a geometry-optimized Be2Cd structure.

Lattice parameters (Å, degrees): 4.6747 4.6747 7.6933 90.00 90.00 120.00
With the nearest neighbours (Å) after each atom.
Positions (direct):
Be 0.0000 0.0000 0.0000  6 Be 2.32
Be 0.0000 0.0000 0.5000  6 Be 2.32
Be 0.1599 0.3198 0.2500  6 Be 2.24-2.43
Be 0.1599 0.8401 0.2500  6 Be 2.24-2.43
Be 0.3198 0.1599 0.7500  6 Be 2.24-2.43
Be 0.6802 0.8401 0.2500  6 Be 2.24-2.43
Be 0.8401 0.1599 0.7500  6 Be 2.24-2.43
Be 0.8401 0.6802 0.7500  6 Be 2.24-2.43
Cd 0.3333 0.6667 0.5623  12 Be 2.74-2.78, 4 Cd 2.86-2.89
Cd 0.3333 0.6667 0.9377  12 Be 2.74-2.78, 4 Cd 2.86-2.89
Cd 0.6667 0.3333 0.0623  12 Be 2.74-2.78, 4 Cd 2.86-2.89
Cd 0.6667 0.3333 0.4377  12 Be 2.74-2.78, 4 Cd 2.86-2.89

SG = P6_3/mmc
Volume = 146 Å³ per cell
Energy above the most stable polymorph in this dataset = 0.00 eV per formula unit


Density functional theory data (PBE) for a geometry-optimized KPaO3 structure.

Lattice parameters (Å, degrees): 3.6947 3.6947 5.6016 90.00 90.00 90.00
With the nearest neighbours (Å) after each atom.
Positions (direct):
K 0.0000 0.0000 0.0000  5 O 2.26-2.35
Pa 0.5000 0.5000 0.4539  4 O 2.14
O 0.0000 0.0000 0.5969  1 K 2.26
O 0.0000 0.5000 0.2605  2 Pa 2.14, 2 K 2.35
O 0.5000 0.0000 0.2605  2 Pa 2.14, 2 K 2.35

SG = P4mm
Volume = 76 Å³ per cell
DFT total energy = -0.2551 hartree per atom


Density functional theory data (PBE) for a geometry-optimized Y4Ta2Au3C3 structure.

Lattice parameters (Å, degrees): 6.0410 6.0410 14.5311 101.73 101.73 60.22
With the nearest neighbours (Å) after each atom.
Positions (direct):
Y 0.0471 0.1873 0.1055  3 C 2.54-2.62
Y 0.1196 0.2995 0.3945  3 C 2.54-2.61
Y 0.1873 0.0471 0.6055  3 C 2.54-2.62
Y 0.2995 0.1196 0.8945  3 C 2.54-2.61
Y 0.7005 0.8804 0.1055  3 C 2.54-2.61
Y 0.8127 0.9529 0.3945  3 C 2.54-2.62
Y 0.8804 0.7005 0.6055  3 C 2.54-2.61
Y 0.9529 0.8127 0.8945  3 C 2.54-2.62
Ta 0.3395 0.5248 0.0709  3 C 2.11-2.16
Ta 0.4752 0.6605 0.4291  3 C 2.11-2.16
Ta 0.5248 0.3395 0.5709  3 C 2.11-2.16
Ta 0.6605 0.4752 0.9291  3 C 2.11-2.16
Au 0.1501 0.8499 0.2500  2 Au 2.83, 2 Ta 2.97, 4 Y 2.98-3.03
Au 0.3099 0.4170 0.7504  2 Au 2.83-2.86, 4 Y 2.99-3.07, 2 Ta 3.00-3.08
Au 0.4170 0.3099 0.2504  2 Au 2.83-2.86, 4 Y 2.99-3.07, 2 Ta 3.00-3.08
Au 0.5830 0.6901 0.7496  2 Au 2.83-2.86, 4 Y 2.99-3.07, 2 Ta 3.00-3.08
Au 0.6901 0.5830 0.2496  2 Au 2.83-2.86, 4 Y 2.99-3.07, 2 Ta 3.00-3.08
Au 0.8499 0.1501 0.7500  2 Au 2.83, 2 Ta 2.97, 4 Y 2.98-3.03
C 0.0000 0.5000 0.0000  2 Ta 2.16
C 0.2123 0.6442 0.5004  2 Ta 2.11-2.13
C 0.3558 0.7877 0.9996  2 Ta 2.11-2.13
C 0.5000 0.0000 0.5000  2 Ta 2.16
C 0.6442 0.2123 0.0004  2 Ta 2.11-2.13
C 0.7877 0.3558 0.4996  2 Ta 2.11-2.13

SG = C2/c
Volume = 447 Å³ per cell
DFT total energy = -0.2858 hartree per atom


Density functional theory data (PBE) for a geometry-optimized Gd2Dy structure.

Lattice parameters (Å, degrees): 8.8744 8.8744 8.8744 60.00 60.00 60.00
With the nearest neighbours (Å) after each atom.
Positions (direct):
Gd 0.0000 0.0000 0.0000  2 Dy 2.72
Gd 0.0000 0.0000 0.5000  2 Dy 2.72
Gd 0.0000 0.5000 0.0000  2 Dy 2.72
Gd 0.5000 0.0000 0.0000  2 Dy 2.72
Dy 0.1250 0.1250 0.1250  4 Gd 2.72
Dy 0.8750 0.8750 0.8750  4 Gd 2.72

ΔE_f = 2.51 eV per atom
SG = Fd-3m
Volume = 494 Å³ per cell
Energy above the most stable polymorph in this dataset = 6.73 eV per formula unit


Density functional theory data (PBE) for a geometry-optimized YSi2Ir2 structure.

Lattice parameters (Å, degrees): 5.7688 5.7688 5.7688 138.56 138.56 60.04
With the nearest neighbours (Å) after each atom.
Positions (direct):
Y 0.0000 0.0000 0.0000  8 Si 3.13, 8 Ir 3.23
Si 0.3788 0.3788 0.0000  4 Ir 2.41, 1 Si 2.42
Si 0.6212 0.6212 0.0000  4 Ir 2.41, 1 Si 2.42
Ir 0.2500 0.7500 0.5000  4 Si 2.41
Ir 0.7500 0.2500 0.5000  4 Si 2.41

SG = I4/mmm
Volume = 83 Å³ per cell
DFT total energy = -0.2973 hartree per atom


Density functional theory data (PBE) for a geometry-optimized LiAcZn structure.

Lattice parameters (Å, degrees): 5.0344 5.0344 5.0344 60.00 60.00 60.00
With the nearest neighbours (Å) after each atom.
Positions (direct):
Li 0.0000 0.0000 0.0000  4 Zn 3.08
Ac 0.5000 0.5000 0.5000  4 Zn 3.08
Zn 0.7500 0.7500 0.7500  4 Ac 3.08, 4 Li 3.08

SG = F-43m
Volume = 90 Å³ per cell
Energy above the most stable polymorph in this dataset = 0.00 eV per formula unit


Density functional theory data (PBE) for a geometry-optimized Dy2ErLu structure.

Lattice parameters (Å, degrees): 5.5590 7.1384 7.1384 120.00 90.00 90.00
With the nearest neighbours (Å) after each atom.
Positions (direct):
Dy 0.2500 0.0830 0.9170  6 Dy 3.46-3.57, 4 Er 3.46-3.58, 2 Lu 3.56-3.57
Dy 0.2500 0.5834 0.9168  4 Dy 3.46-3.57, 4 Er 3.46-3.58, 4 Lu 3.46-3.57
Dy 0.7500 0.9170 0.0830  6 Dy 3.46-3.57, 4 Er 3.46-3.58, 2 Lu 3.56-3.57
Dy 0.7500 0.9168 0.5834  4 Dy 3.46-3.57, 4 Er 3.46-3.58, 4 Lu 3.46-3.57
Er 0.2500 0.0827 0.4156  8 Dy 3.46-3.58, 4 Lu 3.46-3.57
Er 0.7500 0.4156 0.0827  8 Dy 3.46-3.58, 4 Lu 3.46-3.57
Lu 0.2500 0.5826 0.4159  4 Er 3.46-3.57, 2 Lu 3.46, 6 Dy 3.46-3.57
Lu 0.7500 0.4159 0.5826  4 Er 3.46-3.57, 2 Lu 3.46, 6 Dy 3.46-3.57

ΔE_f = 0.00 eV per atom
SG = Ama2
Volume = 245 Å³ per cell


Please write out number 6 again, unchanged.
Density functional theory data (PBE) for a geometry-optimized LiAcZn structure.

Lattice parameters (Å, degrees): 5.0344 5.0344 5.0344 60.00 60.00 60.00
With the nearest neighbours (Å) after each atom.
Positions (direct):
Li 0.0000 0.0000 0.0000  4 Zn 3.08
Ac 0.5000 0.5000 0.5000  4 Zn 3.08
Zn 0.7500 0.7500 0.7500  4 Ac 3.08, 4 Li 3.08

SG = F-43m
Volume = 90 Å³ per cell
Energy above the most stable polymorph in this dataset = 0.00 eV per formula unit


What is the volume in the third record?
447 Å³ per cell